(1)
Below is a geometry-optimized RbPmPd2O4 structure, with properties calculated at the PBE level.

abc: 4.0406 4.0406 7.7965
angles: 90.00 90.00 90.00
With the nearest neighbours (Å) after each atom.
Fractional positions:
1 Rb 0.0000 0.0000 0.5000  8 O 3.17, 8 Pd 3.54
2 Pm 0.0000 0.0000 0.0000  8 O 2.49
3 Pd 0.5000 0.5000 0.2326  4 O 2.05
4 Pd 0.5000 0.5000 0.7674  4 O 2.05
5 O 0.0000 0.5000 0.1867  2 Pd 2.05
6 O 0.5000 0.0000 0.8133  2 Pd 2.05
7 O 0.5000 0.0000 0.1867  2 Pd 2.05
8 O 0.0000 0.5000 0.8133  2 Pd 2.05

## Properties
ΔE_f (raw): -1171 kJ/mol of formula units
D(E_F): 0.222 states/eV per atom
space-group type: P4/mmm
crystal system: tetragonal

***

(2)
Below is a geometry-optimized MgPaNi2 structure, with properties calculated at the PBE level.

abc: 3.3673 4.2287 5.0867
angles: 90.00 109.36 90.00
With the nearest neighbours (Å) after each atom.
Fractional positions:
1 Mg 0.7231 0.0000 0.9852  7 Ni 2.69-2.76
2 Pa 0.4399 0.5000 0.4203  7 Ni 2.66-2.77
3 Ni 0.1649 0.5000 0.8669  2 Ni 2.62, 3 Pa 2.66-2.73, 4 Mg 2.76
4 Ni 0.0031 0.0000 0.5456  2 Ni 2.62, 3 Mg 2.69-2.70, 4 Pa 2.77

## Properties
D(E_F): 1.041 states/eV per atom
formation energy: -0.29 eV/atom
space-group type: Amm2
crystal system: orthorhombic

***

(3)
Below is a geometry-optimized Ho3ErMg4 structure, with properties calculated at the PBE level.

abc: 3.7705 3.7705 15.1122
angles: 90.00 90.00 90.00
With the nearest neighbours (Å) after each atom.
Fractional positions:
1 Mg 0.0000 0.0000 0.8754  4 Er 3.26, 4 Ho 3.27
2 Mg 0.0000 0.0000 0.1246  4 Er 3.26, 4 Ho 3.27
3 Mg 0.0000 0.0000 0.3749  8 Ho 3.27
4 Mg 0.0000 0.0000 0.6251  8 Ho 3.27
5 Ho 0.5000 0.5000 0.2499  8 Mg 3.27
6 Ho 0.5000 0.5000 0.5000  8 Mg 3.27
7 Ho 0.5000 0.5000 0.7501  8 Mg 3.27
8 Er 0.5000 0.5000 0.0000  8 Mg 3.26

## Properties
energy above the most stable polymorph in this dataset: 0 meV per atom
D(E_F): 1.302 states/eV per atom
formation energy: -0.07 eV/atom
space-group type: P4/mmm
crystal system: tetragonal

***

> The highest D(E_F) belongs to which entry?

Ho3ErMg4

***

> Which formula does entry 3 have?

Ho3ErMg4

***

> Which value of D(E_F) does entry 2 give?

1.041 states/eV per atom